# Li2MoOs (PBE, optimized geometry)
data_Li2MoOs
_cell_length_a 3.215
_cell_length_b 3.215
_cell_length_c 5.069
_cell_angle_alpha 90.00
_cell_angle_beta 90.00
_cell_angle_gamma 90.00
_symmetry_space_group_name_H-M 'P 4/m m m'
_symmetry_Int_Tables_number 123
_symmetry_space_group_name_Hall '-P 4 2'
loop_
_atom_site_label
_atom_site_type_symbol
_atom_site_fract_x
_atom_site_fract_y
_atom_site_fract_z
Li1 Li 0.000 0.000 0.229
Mo1 Mo 0.500 0.500 0.500
Os1 Os 0.500 0.500 0.000
# * M_tot: 0.000 μB/atom
# * ΔE_f: 253 kJ/mol of formula units
# * E above lowest polymorph: 2.026 eV/f.u.

---

# Tl3Te2 (PBE, optimized geometry)
data_Tl3Te2
_cell_length_a 8.793
_cell_length_b 4.672
_cell_length_c 9.467
_cell_angle_alpha 90.00
_cell_angle_beta 90.97
_cell_angle_gamma 90.00
_symmetry_space_group_name_H-M 'P 1 21/m 1'
_symmetry_Int_Tables_number 11
loop_
_symmetry_equiv_pos_as_xyz
'x,y,z'
'-x,-y,-z'
'-x,y+1/2,-z'
'x,-y+1/2,z'
loop_
_atom_site_label
_atom_site_type_symbol
_atom_site_fract_x
_atom_site_fract_y
_atom_site_fract_z
Tl1 Tl 0.017 0.250 0.329
Tl2 Tl 0.319 0.750 0.895
Tl3 Tl 0.394 0.750 0.376
Te1 Te 0.227 0.250 0.614
Te2 Te 0.320 0.250 0.140
# * M_tot: 0.000 μB/atom
# * E above lowest polymorph: 0.138 eV/f.u.
# * formation energy (no corrections): -0.2104 eV/atom

---

# Na2Si2P3 (PBE, optimized geometry)
data_Na2Si2P3
_cell_length_a 13.158
_cell_length_b 3.789
_cell_length_c 7.216
_cell_angle_alpha 90.00
_cell_angle_beta 123.12
_cell_angle_gamma 90.00
_symmetry_space_group_name_H-M 'C 1 2/m 1'
_symmetry_Int_Tables_number 12
loop_
_symmetry_equiv_pos_as_xyz
'x,y,z'
'-x,-y,-z'
'-x,y,-z'
'x,-y,z'
'x+1/2,y+1/2,z'
'-x+1/2,-y+1/2,-z'
'-x+1/2,y+1/2,-z'
'x+1/2,-y+1/2,z'
loop_
_atom_site_label
_atom_site_type_symbol
_atom_site_fract_x
_atom_site_fract_y
_atom_site_fract_z
Na1 Na 0.073 0.000 0.347
Si1 Si 0.186 0.500 0.066
P1 P 0.000 0.500 0.000
P2 P 0.195 0.500 0.753
# * M_tot: 0.000 μB/atom
# * formation energy (no corrections): -0.1684 eV/atom

---

no.,energy (eV/atom)
1,-5.818
2,-2.887
3,-4.413